# LiCrRu2 (GGA-PBE, relaxed)
# - Energy above the most stable polymorph in this dataset: 331 meV/atom
# - Energy of formation: 0.408 eV/atom
data_LiCrRu2
_cell_length_a 2.750
_cell_length_b 4.398
_cell_length_c 9.094
_cell_angle_alpha 90.00
_cell_angle_beta 90.00
_cell_angle_gamma 90.00
_space_group_name_H-M_alt 'P 1'
_space_group_IT_number 1
loop_
_space_group_symop_operation_xyz
'x,y,z'
loop_
_atom_site_label
_atom_site_type_symbol
_atom_site_fract_x
_atom_site_fract_y
_atom_site_fract_z
_atom_site_occupancy
Li1 Li 0.000 0.000 0.000 1
Li2 Li 0.500 0.500 0.000 1
Cr1 Cr 0.000 0.500 0.740 1
Cr2 Cr 0.500 0.000 0.740 1
Ru1 Ru 0.000 0.000 0.511 1
Ru2 Ru 0.000 0.500 0.251 1
Ru3 Ru 0.500 0.000 0.251 1
Ru4 Ru 0.500 0.500 0.511 1

# CsSr2TlS4 (GGA-PBE, relaxed)
# - Formation energy without anion corrections: -1.168 eV per atom
data_CsSr2TlS4
_cell_length_a 8.834
_cell_length_b 8.834
_cell_length_c 8.834
_cell_angle_alpha 119.26
_cell_angle_beta 118.74
_cell_angle_gamma 91.74
_space_group_name_H-M_alt 'P 1'
_space_group_IT_number 1
loop_
_space_group_symop_operation_xyz
'x,y,z'
loop_
_atom_site_label
_atom_site_type_symbol
_atom_site_fract_x
_atom_site_fract_y
_atom_site_fract_z
_atom_site_occupancy
Cs1 Cs 0.500 0.000 0.000 1
Cs2 Cs 0.500 0.500 0.500 1
Sr1 Sr 0.000 0.000 0.000 1
Sr2 Sr 0.000 0.000 0.500 1
Sr3 Sr 0.000 0.500 0.000 1
Sr4 Sr 0.500 0.000 0.500 1
Tl1 Tl 0.000 0.500 0.500 1
Tl2 Tl 0.500 0.500 0.000 1
S1 S 0.174 0.702 0.472 1
S2 S 0.235 0.204 0.469 1
S3 S 0.235 0.765 0.031 1
S4 S 0.270 0.298 0.972 1
S5 S 0.730 0.702 0.028 1
S6 S 0.765 0.235 0.969 1
S7 S 0.765 0.796 0.531 1
S8 S 0.826 0.298 0.528 1

# LaAl2C (GGA-PBE, relaxed)
# - Energy of formation: 0.363 eV/atom
data_LaAl2C
_cell_length_a 6.489
_cell_length_b 6.489
_cell_length_c 8.068
_cell_angle_alpha 90.00
_cell_angle_beta 90.00
_cell_angle_gamma 90.00
_space_group_name_H-M_alt 'P 1'
_space_group_IT_number 1
loop_
_space_group_symop_operation_xyz
'x,y,z'
loop_
_atom_site_label
_atom_site_type_symbol
_atom_site_fract_x
_atom_site_fract_y
_atom_site_fract_z
_atom_site_occupancy
La1 La 0.000 0.000 0.000 1
La2 La 0.000 0.500 0.250 1
La3 La 0.500 0.000 0.750 1
La4 La 0.500 0.500 0.500 1
Al1 Al 0.090 0.250 0.625 1
Al2 Al 0.250 0.590 0.875 1
Al3 Al 0.250 0.910 0.375 1
Al4 Al 0.410 0.250 0.125 1
Al5 Al 0.590 0.750 0.125 1
Al6 Al 0.750 0.090 0.375 1
Al7 Al 0.750 0.410 0.875 1
Al8 Al 0.910 0.750 0.625 1
C1 C 0.000 0.000 0.500 1
C2 C 0.000 0.500 0.750 1
C3 C 0.500 0.000 0.250 1
C4 C 0.500 0.500 0.000 1

# CeTmSc2Ru4 (GGA-PBE, relaxed)
# - Energy of formation: -0.528 eV/atom
data_CeTmSc2Ru4
_cell_length_a 8.052
_cell_length_b 8.052
_cell_length_c 8.052
_cell_angle_alpha 33.81
_cell_angle_beta 33.81
_cell_angle_gamma 33.81
_space_group_name_H-M_alt 'P 1'
_space_group_IT_number 1
loop_
_space_group_symop_operation_xyz
'x,y,z'
loop_
_atom_site_label
_atom_site_type_symbol
_atom_site_fract_x
_atom_site_fract_y
_atom_site_fract_z
_atom_site_occupancy
Ce1 Ce 0.000 0.000 0.000 1
Tm1 Tm 0.500 0.500 0.500 1
Sc1 Sc 0.246 0.246 0.246 1
Sc2 Sc 0.754 0.754 0.754 1
Ru1 Ru 0.122 0.122 0.122 1
Ru2 Ru 0.373 0.373 0.373 1
Ru3 Ru 0.627 0.627 0.627 1
Ru4 Ru 0.878 0.878 0.878 1

# Pm9SmDy2 (GGA-PBE, relaxed)
# - Energy of formation: 0.016 eV/atom
data_Pm9SmDy2
_cell_length_a 5.131
_cell_length_b 5.131
_cell_length_c 15.395
_cell_angle_alpha 90.00
_cell_angle_beta 90.00
_cell_angle_gamma 90.00
_space_group_name_H-M_alt 'P 1'
_space_group_IT_number 1
loop_
_space_group_symop_operation_xyz
'x,y,z'
loop_
_atom_site_label
_atom_site_type_symbol
_atom_site_fract_x
_atom_site_fract_y
_atom_site_fract_z
_atom_site_occupancy
Pm1 Pm 0.000 0.000 0.000 1
Pm2 Pm 0.000 0.000 0.334 1
Pm3 Pm 0.000 0.000 0.666 1
Pm4 Pm 0.000 0.500 0.168 1
Pm5 Pm 0.000 0.500 0.500 1
Pm6 Pm 0.000 0.500 0.832 1
Pm7 Pm 0.500 0.000 0.168 1
Pm8 Pm 0.500 0.000 0.500 1
Pm9 Pm 0.500 0.000 0.832 1
Sm1 Sm 0.500 0.500 0.000 1
Dy1 Dy 0.500 0.500 0.334 1
Dy2 Dy 0.500 0.500 0.666 1

# SrGe2I (GGA-PBE, relaxed)
# - Energy above the most stable polymorph in this dataset: 104 meV/atom
# - Formation energy without anion corrections: 0.189 eV per atom
data_SrGe2I
_cell_length_a 7.721
_cell_length_b 7.721
_cell_length_c 7.721
_cell_angle_alpha 90.00
_cell_angle_beta 90.00
_cell_angle_gamma 90.00
_space_group_name_H-M_alt 'P 1'
_space_group_IT_number 1
loop_
_space_group_symop_operation_xyz
'x,y,z'
loop_
_atom_site_label
_atom_site_type_symbol
_atom_site_fract_x
_atom_site_fract_y
_atom_site_fract_z
_atom_site_occupancy
Sr1 Sr 0.000 0.000 0.000 1
Sr2 Sr 0.000 0.500 0.500 1
Sr3 Sr 0.500 0.000 0.500 1
Sr4 Sr 0.500 0.500 0.000 1
Ge1 Ge 0.250 0.250 0.250 1
Ge2 Ge 0.250 0.250 0.750 1
Ge3 Ge 0.250 0.750 0.250 1
Ge4 Ge 0.250 0.750 0.750 1
Ge5 Ge 0.750 0.250 0.250 1
Ge6 Ge 0.750 0.250 0.750 1
Ge7 Ge 0.750 0.750 0.250 1
Ge8 Ge 0.750 0.750 0.750 1
I1 I 0.000 0.000 0.500 1
I2 I 0.000 0.500 0.000 1
I3 I 0.500 0.000 0.000 1
I4 I 0.500 0.500 0.500 1

# Li4Mg5Al2 (GGA-PBE, relaxed)
# - Energy above the most stable polymorph in this dataset: 0 meV/atom
# - Energy of formation: -0.047 eV/atom
data_Li4Mg5Al2
_cell_length_a 8.985
_cell_length_b 8.985
_cell_length_c 7.574
_cell_angle_alpha 105.11
_cell_angle_beta 105.11
_cell_angle_gamma 21.37
_space_group_name_H-M_alt 'P 1'
_space_group_IT_number 1
loop_
_space_group_symop_operation_xyz
'x,y,z'
loop_
_atom_site_label
_atom_site_type_symbol
_atom_site_fract_x
_atom_site_fract_y
_atom_site_fract_z
_atom_site_occupancy
Li1 Li 0.052 0.052 0.232 1
Li2 Li 0.318 0.318 0.575 1
Li3 Li 0.682 0.682 0.425 1
Li4 Li 0.948 0.948 0.768 1
Mg1 Mg 0.140 0.140 0.705 1
Mg2 Mg 0.209 0.209 0.129 1
Mg3 Mg 0.500 0.500 0.500 1
Mg4 Mg 0.791 0.791 0.871 1
Mg5 Mg 0.860 0.860 0.295 1
Al1 Al 0.429 0.429 0.049 1
Al2 Al 0.571 0.571 0.951 1

# Rb3Ho3NbS8 (GGA-PBE, relaxed)
# - Formation energy without anion corrections: -1.642 eV per atom
data_Rb3Ho3NbS8
_cell_length_a 9.061
_cell_length_b 9.061
_cell_length_c 9.061
_cell_angle_alpha 51.42
_cell_angle_beta 51.42
_cell_angle_gamma 51.42
_space_group_name_H-M_alt 'P 1'
_space_group_IT_number 1
loop_
_space_group_symop_operation_xyz
'x,y,z'
loop_
_atom_site_label
_atom_site_type_symbol
_atom_site_fract_x
_atom_site_fract_y
_atom_site_fract_z
_atom_site_occupancy
Rb1 Rb 0.000 0.500 0.500 1
Rb2 Rb 0.500 0.000 0.500 1
Rb3 Rb 0.500 0.500 0.000 1
Ho1 Ho 0.000 0.000 0.500 1
Ho2 Ho 0.000 0.500 0.000 1
Ho3 Ho 0.500 0.000 0.000 1
Nb1 Nb 0.500 0.500 0.500 1
S1 S 0.231 0.231 0.231 1
S2 S 0.248 0.717 0.717 1
S3 S 0.283 0.283 0.752 1
S4 S 0.283 0.752 0.283 1
S5 S 0.717 0.248 0.717 1
S6 S 0.717 0.717 0.248 1
S7 S 0.752 0.283 0.283 1
S8 S 0.769 0.769 0.769 1

Number 1: V 110 Å³ per cell, theoretical density 7.884 Mg/m³, size of the total moment 0.00 μB per cell. Number 2: V 495 Å³ per cell, theoretical density 4.302 Mg/m³, size of the total moment 0.00 μB per cell. Number 3: V 340 Å³ per cell, theoretical density 4.006 Mg/m³, size of the total moment 0.00 μB per cell. Number 4: V 144 Å³ per cell, theoretical density 9.260 Mg/m³, size of the total moment 0.00 μB per cell. Number 5: V 405 Å³ per cell, theoretical density 7.294 Mg/m³, size of the total moment 0.00 μB per cell. Number 6: V 460 Å³ per cell, theoretical density 5.192 Mg/m³, size of the total moment 0.00 μB per cell. Number 7: V 215 Å³ per cell, theoretical density 1.571 Mg/m³, size of the total moment 0.00 μB per cell. Number 8: V 420 Å³ per cell, theoretical density 4.354 Mg/m³, size of the total moment 1.01 μB per cell.